(1)
An optimized crystal structure of Pm12YTm7, computed with GGA-PBE.

Unit cell a=6.169 b=11.490 c=11.490 alpha=116.87 beta=100.31 gamma=100.31
Positions (direct):
Tm 0.127 0.999 0.756
Tm 0.629 0.756 0.756
Tm 0.500 0.000 0.000
Tm 0.873 0.001 0.244
Tm 0.128 0.756 0.001
Tm 0.872 0.244 0.999
Tm 0.371 0.244 0.244
Pm 0.940 0.353 0.352
Pm 0.060 0.647 0.648
Pm 0.087 0.586 0.174
Pm 0.913 0.414 0.826
Pm 0.087 0.174 0.587
Pm 0.413 0.001 0.353
Pm 0.587 0.999 0.647
Pm 0.412 0.352 0.999
Pm 0.588 0.648 0.001
Pm 0.500 0.413 0.586
Pm 0.913 0.826 0.413
Pm 0.500 0.587 0.414
Y 0.000 0.000 0.000

Results
VASP energy: -4.49 eV/atom
polymorph energy (0 for the lowest one): 25 meV per atom
formation energy: 0.25 eV/atom

(2)
An optimized crystal structure of Pm5YTm12, computed with GGA-PBE.

Unit cell a=14.991 b=10.609 c=5.008 alpha=90.00 beta=90.00 gamma=45.12
Positions (direct):
Tm 0.498 0.666 0.500
Tm 0.502 0.334 0.500
Tm 0.669 0.000 0.000
Tm 0.164 0.334 0.500
Tm 0.832 0.000 0.500
Tm 0.665 0.332 0.000
Tm 0.836 0.666 0.500
Tm 0.335 0.668 0.000
Tm 0.998 0.667 0.000
Tm 0.168 0.000 0.500
Tm 0.331 0.000 0.000
Tm 0.002 0.333 0.000
Pm 0.166 0.667 0.500
Pm 0.500 0.000 0.500
Pm 0.834 0.333 0.500
Pm 0.667 0.666 0.000
Pm 0.333 0.334 0.000
Y 0.000 0.000 0.000

Results
VASP energy: -4.63 eV/atom
formation energy: 0.03 eV/atom

(3)
An optimized crystal structure of Pm3Y4Tm2, computed with GGA-PBE.

Unit cell a=5.062 b=8.009 c=7.999 alpha=107.47 beta=108.45 gamma=90.00
Positions (direct):
Pm 0.000 0.000 0.000
Pm 0.111 0.668 0.223
Pm 0.889 0.332 0.777
Y 0.222 0.331 0.443
Y 0.444 0.668 0.889
Y 0.778 0.669 0.557
Y 0.556 0.332 0.111
Tm 0.668 0.000 0.336
Tm 0.332 0.000 0.664

Results
VASP energy: -5.43 eV/atom
polymorph energy (0 for the lowest one): 0 meV per atom
formation energy: 0.02 eV/atom

(4)
An optimized crystal structure of Pm4Y3Tm8, computed with GGA-PBE.

Unit cell a=6.921 b=6.921 c=12.391 alpha=73.78 beta=73.78 gamma=60.00
Positions (direct):
Tm 0.250 0.250 0.748
Tm 0.750 0.750 0.252
Tm 0.250 0.753 0.748
Tm 0.755 0.755 0.736
Tm 0.750 0.247 0.252
Tm 0.247 0.750 0.252
Tm 0.753 0.250 0.748
Tm 0.245 0.245 0.264
Pm 0.337 0.337 0.990
Pm 0.500 0.500 0.500
Pm 0.000 0.000 0.000
Pm 0.663 0.663 0.010
Y 0.000 0.500 0.500
Y 0.500 0.000 0.500
Y 0.000 0.000 0.500

Results
VASP energy: -4.81 eV/atom
formation energy: 0.13 eV/atom

(5)
An optimized crystal structure of Pm5Y4Tm2, computed with GGA-PBE.

Unit cell a=6.661 b=6.661 c=9.372 alpha=75.27 beta=75.27 gamma=66.26
Positions (direct):
Y 0.334 0.334 0.119
Y 0.303 0.303 0.504
Y 0.666 0.666 0.881
Y 0.697 0.697 0.496
Pm 0.000 0.000 0.500
Pm 0.344 0.787 0.230
Pm 0.213 0.656 0.770
Pm 0.787 0.344 0.230
Pm 0.656 0.213 0.770
Tm 0.146 0.146 0.885
Tm 0.854 0.854 0.115

Results
VASP energy: -5.21 eV/atom
polymorph energy (0 for the lowest one): 0 meV per atom
formation energy: 0.11 eV/atom

(6)
An optimized crystal structure of PmY4Tm, computed with GGA-PBE.

Unit cell a=9.790 b=5.658 c=8.955 alpha=129.12 beta=90.00 gamma=90.00
Positions (direct):
Y 0.666 0.253 0.254
Y 0.167 0.754 0.254
Y 0.833 0.246 0.746
Y 0.834 0.753 0.254
Y 0.333 0.254 0.254
Y 0.667 0.746 0.746
Y 0.166 0.247 0.746
Y 0.334 0.747 0.746
Tm 0.000 0.500 0.500
Tm 0.500 0.000 0.500
Pm 0.500 0.500 0.000
Pm 0.000 0.000 0.000

Results
VASP energy: -5.78 eV/atom
polymorph energy (0 for the lowest one): 0 meV per atom
formation energy: 0.07 eV/atom

(7)
An optimized crystal structure of Pm7Y6Tm16, computed with GGA-PBE.

Unit cell a=11.119 b=11.119 c=11.119 alpha=60.00 beta=60.00 gamma=60.00
Positions (direct):
Pm 0.000 0.000 0.000
Pm 0.000 0.000 0.500
Pm 0.000 0.500 0.500
Pm 0.500 0.500 0.000
Pm 0.500 0.000 0.000
Pm 0.500 0.000 0.500
Pm 0.000 0.500 0.000
Tm 0.653 0.042 0.653
Tm 0.873 0.380 0.873
Tm 0.873 0.873 0.873
Tm 0.873 0.873 0.380
Tm 0.620 0.127 0.127
Tm 0.042 0.653 0.653
Tm 0.347 0.958 0.347
Tm 0.127 0.127 0.127
Tm 0.347 0.347 0.347
Tm 0.127 0.620 0.127
Tm 0.958 0.347 0.347
Tm 0.653 0.653 0.042
Tm 0.127 0.127 0.620
Tm 0.347 0.347 0.958
Tm 0.653 0.653 0.653
Tm 0.380 0.873 0.873
Y 0.732 0.268 0.268
Y 0.732 0.732 0.268
Y 0.268 0.732 0.268
Y 0.268 0.268 0.732
Y 0.268 0.732 0.732
Y 0.732 0.268 0.732

Results
VASP energy: -4.70 eV/atom
formation energy: 0.25 eV/atom

(8)
An optimized crystal structure of PmY2Tm12, computed with GGA-PBE.

Unit cell a=6.571 b=6.566 c=25.480 alpha=74.97 beta=96.49 gamma=64.94
Positions (direct):
Tm 0.071 0.902 0.067
Tm 0.095 0.463 0.855
Tm 0.405 0.037 0.145
Tm 0.821 0.839 0.595
Tm 0.047 0.029 0.809
Tm 0.321 0.339 0.595
Tm 0.929 0.098 0.933
Tm 0.453 0.471 0.191
Tm 0.571 0.402 0.067
Tm 0.953 0.971 0.191
Tm 0.656 0.472 0.676
Tm 0.344 0.528 0.324
Tm 0.905 0.538 0.145
Tm 0.156 0.972 0.676
Tm 0.679 0.661 0.405
Tm 0.771 0.410 0.546
Tm 0.844 0.028 0.324
Tm 0.179 0.161 0.405
Tm 0.595 0.962 0.855
Tm 0.271 0.910 0.546
Tm 0.729 0.090 0.454
Tm 0.429 0.598 0.933
Tm 0.547 0.529 0.809
Tm 0.229 0.590 0.454
Y 0.705 0.906 0.722
Y 0.795 0.594 0.278
Y 0.205 0.406 0.722
Y 0.295 0.094 0.278
Pm 0.500 0.000 0.000
Pm 0.000 0.500 0.000

Results
VASP energy: -4.72 eV/atom
formation energy: 0.03 eV/atom